# 1
The following is a DFT calculation (GGA-PBE) of an optimized crystal structure of ZrBe2Pt.

Values from the calculation:
ΔH_f (0 K), eV/f.u.: -1.036
Final energy, eV per atom: -5.77
Calculated volume, Å³ per atom: 14.229
DOS(E_F), states/eV per cell: 2.40
Crystal system: tetragonal
E above lowest polymorph, eV/atom: 0.340

POSCAR file:
```
ZrBe2Pt
1.0
3.8929 0.0000 0.0000
0.0000 3.8929 0.0000
0.0000 0.0000 3.7556
Zr Be Pt
1 2 1
Direct
0.0000 0.0000 0.0000
0.0000 0.5000 0.5000
0.5000 0.0000 0.5000
0.5000 0.5000 0.0000
```



# 2
The following is a DFT calculation (GGA-PBE) of an optimized crystal structure of BS2ICl.

Values from the calculation:
Final energy, eV per atom: -2.16
Calculated volume, Å³ per atom: 28.430
Raw formation energy, eV per atom: 1.51
DOS(E_F), states/eV per cell: 2.81
Crystal system: tetragonal
E above lowest polymorph, eV/atom: 0.756

POSCAR file:
```
BS2ICl
1.0
5.1366 0.0000 0.0000
0.0000 5.1366 0.0000
0.0000 0.0000 5.3878
B S I Cl
1 2 1 1
Direct
0.0000 0.0000 0.0000
0.0000 0.5000 0.5000
0.5000 0.0000 0.5000
0.5000 0.5000 0.5000
0.5000 0.5000 0.0000
```



# 3
The following is a DFT calculation (GGA-PBE) of an optimized crystal structure of Ca2SiNi6C.

Values from the calculation:
Final energy, eV per atom: -5.65
Calculated volume, Å³ per atom: 13.899
Raw formation energy, eV per atom: -0.31
DOS(E_F), states/eV per cell: 4.15
Crystal system: trigonal

POSCAR file:
```
Ca2SiNi6C
1.0
2.6696 1.5413 5.6296
-2.6696 1.5413 5.6296
0.0000 -3.0826 5.6296
Ca Si Ni C
2 1 6 1
Direct
0.2163 0.2163 0.2163
0.7837 0.7837 0.7837
0.5000 0.5000 0.5000
0.2345 0.2345 0.7008
0.2345 0.7008 0.2345
0.2992 0.7655 0.7655
0.7008 0.2345 0.2345
0.7655 0.2992 0.7655
0.7655 0.7655 0.2992
0.0000 0.0000 0.0000
```



# 4
The following is a DFT calculation (GGA-PBE) of an optimized crystal structure of AcBeAlO4.

Values from the calculation:
Final energy, eV per atom: -7.56
Calculated volume, Å³ per atom: 13.656
Raw formation energy, eV per atom: -3.07
DOS(E_F), states/eV per cell: 0.00
Crystal system: tetragonal

POSCAR file:
```
AcBeAlO4
1.0
-2.5906 2.5906 3.5609
2.5906 -2.5906 3.5609
2.5906 2.5906 -3.5609
Ac Be Al O
1 1 1 4
Direct
0.0000 0.0000 0.0000
0.2500 0.7500 0.5000
0.5000 0.5000 0.0000
0.2337 0.6169 0.1253
0.3831 0.5083 0.6168
0.4917 0.1085 0.8747
0.8915 0.7663 0.3832
```



# 5
The following is a DFT calculation (GGA-PBE) of an optimized crystal structure of PmMgTlBi.

Values from the calculation:
ΔH_f (0 K), eV/f.u.: -1.039
Final energy, eV per atom: -3.41
Calculated volume, Å³ per atom: 28.369
DOS(E_F), states/eV per cell: 3.99
Crystal system: cubic

POSCAR file:
```
PmMgTlBi
1.0
0.0000 3.8426 3.8426
3.8426 0.0000 3.8426
3.8426 3.8426 0.0000
Pm Mg Tl Bi
1 1 1 1
Direct
0.0000 0.0000 0.0000
0.5000 0.5000 0.5000
0.2500 0.2500 0.2500
0.7500 0.7500 0.7500
```



# 6
The following is a DFT calculation (GGA-PBE) of an optimized crystal structure of CrOsRh2.

Values from the calculation:
ΔH_f (0 K), eV/f.u.: 0.057
Final energy, eV per atom: -8.87
Calculated volume, Å³ per atom: 13.658
DOS(E_F), states/eV per cell: 4.14
Crystal system: tetragonal
E above lowest polymorph, eV/atom: 0.078

POSCAR file:
```
CrOsRh2
1.0
-1.9128 1.9128 3.7330
1.9128 -1.9128 3.7330
1.9128 1.9128 -3.7330
Cr Os Rh
1 1 2
Direct
0.0000 0.0000 0.0000
0.7500 0.2500 0.5000
0.2500 0.7500 0.5000
0.5000 0.5000 0.0000
```